CaMgTe2N: optimized geometry, PBE-GGA.

```
5
Lattice="5.917 0.000 0.000 0.000 5.917 0.000 0.000 0.000 4.490" Properties=species:S:1:pos:R:3 pbc="T T T"
Ca 0.000 0.000 0.000
Mg 2.959 2.959 2.245
Te 0.000 2.959 0.000
Te 2.959 0.000 0.000
N 0.000 0.000 2.245
```

Uncorrected formation energy   422 meV/atom
Polymorph energy (0 for the lowest one)   505 meV per atom
Uncorrected energy   -3.2192 eV/atom
Total moment   0.48 μB/atom